# 1
MgRuSN2, relaxed, DFT GGA-PBE; energy = -23.4 eV for the cell shown; formation energy (no corrections) = 1.65 eV per atom; distance to the lowest polymorph of the same formula = 1388 meV per atom
1.0
3.891 0.000 0.000
0.000 3.891 0.000
0.000 0.000 4.856
Mg Ru S N
1 1 1 2
Cartesian
0.000 0.000 0.000
1.945 1.945 2.428
0.000 0.000 2.428
0.000 1.945 0.000
1.945 0.000 0.000

# 2
SrLaTl2Ru, relaxed, DFT GGA-PBE; energy = -21.5 eV for the cell shown; DFT formation energy = -0.17 eV per atom
1.0
5.545 0.000 0.000
0.000 5.545 0.000
0.000 0.000 5.088
Sr La Tl Ru
1 1 2 1
Cartesian
0.000 0.000 0.000
2.772 2.772 0.000
0.000 2.772 2.544
2.772 0.000 2.544
2.772 2.772 2.544

# 3
MgSClO4, relaxed, DFT GGA-PBE; energy = -76.7 eV for the cell shown; formation energy (no corrections) = -1.56 eV per atom
1.0
5.278 -2.919 0.000
5.278 2.919 0.000
-1.200 0.000 6.137
Mg S Cl O
2 2 2 8
Cartesian
1.745 0.000 1.947
7.610 0.000 4.190
0.531 0.000 4.666
8.824 0.000 1.471
3.995 0.000 5.153
5.360 0.000 0.984
-0.276 0.000 1.630
2.941 1.737 2.195
0.913 0.000 6.081
6.414 1.737 3.942
2.941 -1.737 2.195
8.443 0.000 0.056
6.414 -1.737 3.942
9.631 0.000 4.507

Which value of energy does entry 3 give? -76.7 eV for the cell shown

The lowest energy belongs to which entry? MgSClO4

energy of number 3 (MgSClO4)? -76.7 eV for the cell shown